[1]
The following is a PBEsol calculation of an optimized crystal structure of AlZnAs2Br, from the Alexandria database.

## Properties
The total DFT energy (no corrections) comes out at -2.995 eV per atom. As for the crystal system: tetragonal. As for the space group: P4/mmm, No. 123.

Structure (extended XYZ):
```
5
Lattice="4.7604 0.0000 0.0000 0.0000 4.7604 0.0000 0.0000 0.0000 5.2220" Properties=species:S:1:pos:R:3 pbc="T T T"
Al 0.0000 0.0000 0.0000
Zn 2.3802 2.3802 2.6110
As 0.0000 2.3802 2.6110
As 2.3802 0.0000 2.6110
Br 2.3802 2.3802 0.0000
```

=====

[2]
The following is a PBEsol calculation of an optimized crystal structure of KTePt2, from the Alexandria database.

## Properties
The total DFT energy (no corrections) comes out at -4.855 eV per atom. As for the crystal system: trigonal. As for the space group: R-3m, No. 166.

Structure (extended XYZ):
```
4
Lattice="2.3056 1.3311 5.7346 -2.3056 1.3311 5.7346 0.0000 -2.6623 5.7346" Properties=species:S:1:pos:R:3 pbc="T T T"
K 0.0000 0.0000 0.0000
Te 0.0000 0.0000 8.6019
Pt 0.0000 0.0000 3.2391
Pt 0.0000 0.0000 13.9646
```

=====

[3]
The following is a PBEsol calculation of an optimized crystal structure of Sc2TaTe, from the Alexandria database.

## Properties
For the polymorph energy (0 for the lowest one), the calculation gives 0 meV/atom. As for the crystal system: monoclinic. As for the space group: Cm, No. 8.

Structure (extended XYZ):
```
4
Lattice="5.0130 -1.6753 0.0000 5.0130 1.6753 0.0000 -1.1388 0.0000 4.9342" Properties=species:S:1:pos:R:3 pbc="T T T"
Sc 0.0000 0.0000 0.0000
Sc 1.4839 0.0000 3.6019
Ta 7.2725 0.0000 1.2596
Te 4.3106 0.0000 2.3509
```

=====

Which formula does entry 3 have?
Sc2TaTe